A plane-wave DFT calculation with PBE was carried out for crystalline LaY2Sc at its relaxed geometry.

Cell lengths 4.968, 4.968, 5.095 Å; angles 90.00, 90.00, 90.00 degrees
Atoms (fractional coordinates):
La  0.000  0.000  0.000
Y  0.000  0.500  0.500
Y  0.500  0.000  0.500
Sc  0.500  0.500  0.000

Total magnetization ... 0.0 μB per cell
Uncorrected energy ... -5.987 eV/atom
ΔE to the lowest computed polymorph ... 25.2 meV/atom
Energy of formation from the pure elements ... 0.0595 eV per atom